(1)
This record from Alexandria via LeMat-Bulk describes EuNi4Sb after structural relaxation. The functional is PBE-GGA.

Structure (extended XYZ):
```
6
Lattice="0.0000 3.5684 3.5684 3.5684 0.0000 3.5684 3.5684 3.5684 0.0000" Properties=species:S:1:pos:R:3 pbc="T T T"
Eu 0.0000 0.0000 0.0000
Ni 4.4577 2.6792 2.6792
Ni 2.6792 4.4577 2.6792
Ni 2.6792 2.6792 4.4577
Ni 4.4577 4.4577 4.4577
Sb 1.7842 1.7842 1.7842
```

Values from the calculation:
Density of states at the Fermi level   1.449 states/eV per atom
Final energy   -0.4720 Ry per atom
E_form (uncorrected)   -3.9 kcal/mol of atoms
SG   No. 216


(2)
This record from Alexandria via LeMat-Bulk describes NaZnGaCu after structural relaxation. The functional is PBE-GGA.

Structure (extended XYZ):
```
4
Lattice="0.0000 3.2080 3.2080 3.2080 0.0000 3.2080 3.2080 3.2080 0.0000" Properties=species:S:1:pos:R:3 pbc="T T T"
Na 0.0000 0.0000 0.0000
Zn 1.6040 1.6040 1.6040
Ga 3.2080 3.2080 3.2080
Cu 4.8120 4.8120 4.8120
```

Values from the calculation:
ΔE_f   88 meV/atom
Density of states at the Fermi level   0.417 states/eV per atom
Final energy   -0.1721 Ry per atom
SG   No. 216


(3)
This record from Alexandria via LeMat-Bulk describes Al5Sn3F12 after structural relaxation. The functional is PBE-GGA.

Structure (extended XYZ):
```
80
Lattice="-7.2882 7.2882 7.2882 7.2882 -7.2882 7.2882 7.2882 7.2882 -7.2882" Properties=species:S:1:pos:R:3 pbc="T T T"
Al 0.0000 0.0000 0.0000
Al 3.6441 3.6441 -3.6441
Al 3.6441 -3.6441 3.6441
Al 7.2882 0.0000 0.0000
Al 10.9323 1.8221 0.0000
Al 7.2882 -3.6441 5.4662
Al 5.4662 7.2882 -3.6441
Al 5.4662 0.0000 3.6441
Al 3.6441 5.4662 0.0000
Al 7.2882 3.6441 1.8221
Al -3.6441 3.6441 3.6441
Al 0.0000 7.2882 0.0000
Al 0.0000 0.0000 7.2882
Al 3.6441 3.6441 3.6441
Al 0.0000 3.6441 5.4662
Al 3.6441 1.8221 7.2882
Al 1.8221 7.2882 3.6441
Al 1.8221 0.0000 10.9323
Al 0.0000 10.9323 1.8221
Al -3.6441 5.4662 7.2882
Sn 3.6441 1.8221 0.0000
Sn 7.2882 3.6441 -1.8221
Sn 1.8221 0.0000 3.6441
Sn 9.1103 0.0000 3.6441
Sn 0.0000 3.6441 1.8221
Sn 3.6441 -1.8221 7.2882
Sn 3.6441 9.1103 0.0000
Sn 7.2882 3.6441 5.4662
Sn -1.8221 7.2882 3.6441
Sn 5.4662 7.2882 3.6441
Sn 0.0000 3.6441 9.1103
Sn 3.6441 5.4662 7.2882
F 9.6968 0.7369 -0.4445
F 8.5238 -4.0886 4.3811
F 6.0527 -3.1996 4.3811
F 12.1679 0.7369 0.4445
F 11.3769 2.9072 -1.2356
F 6.8437 -4.8797 6.5513
F 6.5513 6.8437 -4.8797
F 4.3811 -1.2356 3.1996
F 4.3811 6.0527 -3.1996
F 6.5513 0.4445 2.4085
F 3.1996 4.3811 -1.2356
F 7.7327 2.4085 0.7369
F 10.4878 2.9072 1.2356
F 7.7327 -2.4085 6.5513
F 4.3811 8.5238 -4.0886
F 6.5513 -0.4445 4.8797
F 6.5513 7.7327 -2.4085
F 4.3811 1.2356 4.0886
F 4.0886 4.3811 1.2356
F 6.8437 4.8797 0.7369
F 4.8797 6.5513 -0.4445
F 6.0527 3.1996 2.9072
F 2.4085 6.5513 0.4445
F 8.5238 4.0886 2.9072
F -1.2356 3.1996 4.3811
F 4.8797 0.7369 6.8437
F 1.2356 4.0886 4.3811
F 2.4085 0.7369 7.7327
F 0.4445 2.4085 6.5513
F 3.1996 2.9072 6.0527
F 2.9072 6.0527 3.1996
F 0.7369 -0.4445 9.6968
F 0.7369 7.7327 2.4085
F 2.9072 -1.2356 11.3769
F -0.4445 9.6968 0.7369
F -3.1996 4.3811 6.0527
F -0.4445 4.8797 6.5513
F 4.0886 2.9072 8.5238
F 0.7369 6.8437 4.8797
F 2.9072 1.2356 10.4878
F 2.9072 8.5238 4.0886
F 0.7369 0.4445 12.1679
F 0.4445 12.1679 0.7369
F -4.0886 4.3811 8.5238
F -4.8797 6.5513 6.8437
F 1.2356 10.4878 2.9072
F -1.2356 11.3769 2.9072
F -2.4085 6.5513 7.7327
```

Values from the calculation:
Density of states at the Fermi level   0.286 states/eV per atom
Final energy   -0.3532 Ry per atom
E_form (uncorrected)   -49.5 kcal/mol of atoms
SG   No. 230


(4)
This record from Alexandria via LeMat-Bulk describes BaSc2Zn after structural relaxation. The functional is PBE-GGA.

Structure (extended XYZ):
```
4
Lattice="5.2027 0.0000 0.0000 0.0000 5.2027 0.0000 0.0000 0.0000 3.8405" Properties=species:S:1:pos:R:3 pbc="T T T"
Ba 0.0000 0.0000 0.0000
Sc 0.0000 2.6014 1.9202
Sc 2.6014 0.0000 1.9202
Zn 2.6014 2.6014 0.0000
```

Values from the calculation:
ΔE_f   376 meV/atom
Density of states at the Fermi level   1.579 states/eV per atom
Final energy   -0.2638 Ry per atom
SG   No. 123


(5)
This record from Alexandria via LeMat-Bulk describes La2Pm5Er2 after structural relaxation. The functional is PBE-GGA.

Structure (extended XYZ):
```
18
Lattice="-7.5260 6.0133 3.4335 7.5260 -6.0133 3.4335 7.5260 6.0133 -3.4335" Properties=species:S:1:pos:R:3 pbc="T T T"
La 1.8963 0.0404 0.0000
La 5.6297 0.0404 0.0000
La 1.8963 5.9729 3.4335
La 5.6297 5.9729 3.4335
Pm 8.3245 3.0147 -1.0019
Pm 6.7274 -2.9987 2.4317
Pm 11.2889 2.8919 1.0326
Pm 2.1553 3.1999 1.2556
Pm 5.3706 3.1999 1.2556
Pm -0.7985 2.9987 2.4317
Pm 8.3245 2.9987 2.4317
Pm -3.7630 3.1215 4.4661
Pm -2.1553 8.8268 1.2556
Pm 2.1553 2.8134 4.6891
Er 3.7630 5.9166 -0.2535
Er 3.7630 0.0968 3.1800
Er 0.0000 6.0133 0.2258
Er 0.0000 0.0000 3.6594
```

Values from the calculation:
ΔE_f   195 meV/atom
Density of states at the Fermi level   1.539 states/eV per atom
Final energy   -0.3347 Ry per atom
Energy above the most stable polymorph in this dataset   0.000 eV per atom
SG   No. 46


Among the records above, which one has the highest final energy? NaZnGaCu